## Sr2YS3 (PBE-GGA)

Data for a geometry-optimized Sr2YS3 structure.

Calculated values
**Energy relative to the elements, uncorrected**: -199.3 kJ/mol of atoms
**E_tot**: -138.419 eV per cell
**D(E_F)**: 4.980 states/eV/cell

```
data_Sr2YS3
_chemical_formula_sum 'Sr8 Y4 S12'
_cell_length_a 13.694
_cell_length_b 13.055
_cell_length_c 7.178
_cell_angle_alpha 79.41
_cell_angle_beta 69.58
_cell_angle_gamma 31.01
_space_group_name_H-M_alt 'P 1'
_space_group_IT_number 1
_space_group_name_Hall 'P 1'
loop_
_atom_site_label
_atom_site_fract_x
_atom_site_fract_y
_atom_site_fract_z
Sr1 0.043 0.043 0.207
Sr2 0.123 0.123 0.627
Sr3 0.207 0.207 0.043
Sr4 0.373 0.373 0.877
Sr5 0.627 0.627 0.123
Sr6 0.793 0.793 0.957
Sr7 0.877 0.877 0.373
Sr8 0.957 0.957 0.793
Y1 0.292 0.292 0.458
Y2 0.458 0.458 0.292
Y3 0.542 0.542 0.708
Y4 0.708 0.708 0.542
S1 0.038 0.539 0.229
S2 0.143 0.607 0.607
S3 0.229 0.694 0.038
S4 0.306 0.771 0.461
S5 0.393 0.857 0.857
S6 0.461 0.962 0.306
S7 0.539 0.038 0.694
S8 0.607 0.143 0.143
S9 0.694 0.229 0.539
S10 0.771 0.306 0.962
S11 0.857 0.393 0.393
S12 0.962 0.461 0.771
```